A relaxed TiBr2F crystal. Source: Alexandria, functional GGA-PBE.

Cell lengths 3.6408, 3.9548, 7.6467 Å; angles 105.06, 103.77, 90.01 degrees
Closest atoms and distances in Å follow each position.
Positions (direct):
Br: 0.6197 0.1784 0.2394  2 Ti 2.59
Br: 0.3624 0.9207 0.7248  2 Ti 2.59
Ti: 0.9910 0.0502 0.9821  2 F 1.98
F: 0.9912 0.5501 0.9822  2 Ti 1.98

N(E_F)   0.695 states/eV/atom
ΔE to the lowest computed polymorph   0.00 kcal/mol of atoms
Formation energy from raw total energies   -1.9228 eV/atom
Total magnetization   1.00 μB per cell
Uncorrected energy   -20.80 eV/f.u.
Space group   C2/m

---

A relaxed TiBr2F crystal. Source: Alexandria, functional GGA-PBE.

Cell lengths 4.6092, 4.6092, 4.6092 Å; angles 60.00, 60.00, 60.00 degrees
Closest atoms and distances in Å follow each position.
Positions (direct):
Br: 0.7500 0.7500 0.7500  4 F 2.82, 4 Ti 2.82
F: 0.0000 0.0000 0.0000  8 Br 2.82
Br: 0.2500 0.2500 0.2500  4 F 2.82, 4 Ti 2.82
Ti: 0.5000 0.5000 0.5000  8 Br 2.82

N(E_F)   1.926 states/eV/atom
ΔE to the lowest computed polymorph   22.59 kcal/mol of atoms
Formation energy from raw total energies   -0.9433 eV/atom
Total magnetization   1.00 μB per cell
Uncorrected energy   -16.89 eV/f.u.
Space group   Fm-3m

---

A relaxed TiBrF2 crystal. Source: Alexandria, functional GGA-PBE.

Cell lengths 5.6985, 5.6985, 6.4028 Å; angles 63.58, 63.58, 90.00 degrees
Closest atoms and distances in Å follow each position.
Positions (direct):
F: 0.3749 0.1250 0.2500  2 Ti 1.89
Br: 0.0000 0.0000 0.0000  8 F 3.42, 4 Ti 3.78, 4 Br 3.78
Ti: 0.2500 0.7500 0.5000  4 F 1.89
Br: 0.7500 0.2500 0.5000  8 F 3.42, 4 Br 3.78, 4 Ti 3.78
Ti: 0.5000 0.5000 0.0000  4 F 1.89
F: 0.3751 0.6250 0.2500  2 Ti 1.89
F: 0.3750 0.6251 0.7500  2 Ti 1.89
F: 0.8750 0.6249 0.7500  2 Ti 1.89

N(E_F)   0.892 states/eV/atom
ΔE to the lowest computed polymorph   0.00 kcal/mol of atoms
Formation energy from raw total energies   -2.1574 eV/atom
Total magnetization   2.00 μB per cell
Uncorrected energy   -21.94 eV/f.u.
Space group   I4_1/amd

---

A relaxed Ti2BrF2 crystal. Source: Alexandria, functional GGA-PBE.

Cell lengths 3.8376, 3.8376, 5.6995 Å; angles 70.33, 70.33, 90.00 degrees
Closest atoms and distances in Å follow each position.
Positions (direct):
Br: 0.0000 0.0000 0.0000  8 F 3.04, 8 Ti 3.16
Ti: 0.7500 0.2500 0.5000  4 F 2.23
F: 0.6359 0.6359 0.7282  4 Ti 2.23
Ti: 0.2500 0.7500 0.5000  4 F 2.23
F: 0.3641 0.3641 0.2718  4 Ti 2.23

N(E_F)   0.477 states/eV/atom
ΔE to the lowest computed polymorph   0.00 kcal/mol of atoms
Formation energy from raw total energies   -1.3875 eV/atom
Total magnetization   0.00 μB per cell
Uncorrected energy   -28.14 eV/f.u.
Space group   I4/mmm

---

A relaxed TiBr3F crystal. Source: Alexandria, functional GGA-PBE.

Cell lengths 5.0085, 5.0085, 5.0085 Å; angles 90.00, 90.00, 90.00 degrees
Closest atoms and distances in Å follow each position.
Positions (direct):
Br: 0.0000 0.0000 0.5000  2 Ti 2.50
Ti: 0.0000 0.0000 0.0000  6 Br 2.50
Br: 0.0000 0.5000 0.0000  2 Ti 2.50
F: 0.5000 0.5000 0.5000  12 Br 3.54
Br: 0.5000 0.0000 0.0000  2 Ti 2.50

N(E_F)   2.186 states/eV/atom
Formation energy from raw total energies   -0.8270 eV/atom
Total magnetization   0.01 μB per cell
Uncorrected energy   -18.92 eV/f.u.
Space group   Pm-3m

---

A relaxed Ti2BrF2 crystal. Source: Alexandria, functional GGA-PBE.

Cell lengths 7.1007, 7.1007, 3.1453 Å; angles 90.00, 90.00, 90.00 degrees
Closest atoms and distances in Å follow each position.
Positions (direct):
Ti: 0.1218 0.6218 0.5000  4 F 2.29, 1 Ti 2.45
F: 0.3867 0.8867 0.0000  1 F 2.28, 4 Ti 2.29
F: 0.1133 0.3867 0.0000  1 F 2.28, 4 Ti 2.29
Ti: 0.3782 0.1218 0.5000  4 F 2.29, 1 Ti 2.45
F: 0.6133 0.1133 0.0000  1 F 2.28, 4 Ti 2.29
Br: 0.5000 0.5000 0.0000  4 F 2.86, 2 Br 3.15
Ti: 0.8782 0.3782 0.5000  4 F 2.29, 1 Ti 2.45
Ti: 0.6218 0.8782 0.5000  4 F 2.29, 1 Ti 2.45
F: 0.8867 0.6133 0.0000  1 F 2.28, 4 Ti 2.29
Br: 0.0000 0.0000 0.0000  4 F 2.86, 2 Br 3.15

N(E_F)   0.442 states/eV/atom
ΔE to the lowest computed polymorph   5.80 kcal/mol of atoms
Formation energy from raw total energies   -1.1362 eV/atom
Total magnetization   5.99 μB per cell
Uncorrected energy   -26.89 eV/f.u.
Space group   P4/mbm

---

A relaxed TiBrF2 crystal. Source: Alexandria, functional GGA-PBE.

Cell lengths 10.4008, 10.4008, 10.4008 Å; angles 16.83, 16.83, 16.83 degrees
Closest atoms and distances in Å follow each position.
Positions (direct):
F: 0.9418 0.9418 0.9418  1 Ti 1.79
F: 0.0582 0.0582 0.0582  1 Ti 1.79
Ti: 0.0000 0.0000 0.0000  2 F 1.79
Br: 0.5000 0.5000 0.5000  6 Br 3.04

N(E_F)   0.470 states/eV/atom
ΔE to the lowest computed polymorph   13.49 kcal/mol of atoms
Formation energy from raw total energies   -1.5726 eV/atom
Total magnetization   0.00 μB per cell
Uncorrected energy   -19.60 eV/f.u.
Space group   R-3m

---

A relaxed TiBr2F crystal. Source: Alexandria, functional GGA-PBE.

Cell lengths 9.6933, 9.6933, 7.1346 Å; angles 47.21, 47.21, 90.00 degrees
Closest atoms and distances in Å follow each position.
Positions (direct):
Br: 0.8750 0.0379 0.7500  2 Ti 2.61
F: 0.2500 0.7500 0.5000  2 Ti 1.98
Br: 0.7879 0.1250 0.2500  2 Ti 2.61
Br: 0.3750 0.2121 0.7500  2 Ti 2.61
F: 0.5000 0.5000 0.0000  2 Ti 1.98
Ti: 0.7500 0.2500 0.5000  2 F 1.98
Ti: 0.0000 0.0000 0.0000  2 F 1.98
Br: 0.9621 0.6250 0.2500  2 Ti 2.61

N(E_F)   0.738 states/eV/atom
ΔE to the lowest computed polymorph   3.57 kcal/mol of atoms
Formation energy from raw total energies   -1.7681 eV/atom
Total magnetization   2.00 μB per cell
Uncorrected energy   -20.18 eV/f.u.
Space group   I-42d

---

A relaxed Ti2BrF crystal. Source: Alexandria, functional GGA-PBE.

Cell lengths 4.1933, 4.1933, 8.3396 Å; angles 75.44, 75.44, 90.00 degrees
Closest atoms and distances in Å follow each position.
Positions (direct):
Ti: 0.3750 0.4209 0.7500  2 F 2.37, 2 Br 2.54
F: 0.2500 0.7500 0.5000  4 Ti 2.37
Br: 0.7500 0.2500 0.5000  4 Ti 2.54
Ti: 0.5791 0.1250 0.2500  2 F 2.37, 2 Br 2.54
Ti: 0.1709 0.6250 0.2500  2 F 2.37, 2 Br 2.54
F: 0.5000 0.5000 0.0000  4 Ti 2.37
Ti: 0.8750 0.8291 0.7500  2 F 2.37, 2 Br 2.54
Br: 0.0000 0.0000 0.0000  4 Ti 2.54

N(E_F)   0.925 states/eV/atom
ΔE to the lowest computed polymorph   0.00 kcal/mol of atoms
Formation energy from raw total energies   -0.7247 eV/atom
Total magnetization   2.64 μB per cell
Uncorrected energy   -22.23 eV/f.u.
Space group   I-42d

---

A relaxed TiTlBr2F crystal. Source: Alexandria, functional GGA-PBE.

Cell lengths 5.9383, 3.8325, 5.9383 Å; angles 90.00, 90.00, 90.00 degrees
Closest atoms and distances in Å follow each position.
Positions (direct):
Ti: 0.0000 0.5000 0.0000  2 F 1.92
Tl: 0.5000 0.5000 0.5000  8 Br 3.53, 2 Tl 3.83
F: 0.0000 0.0000 0.0000  2 Ti 1.92
Br: 0.5000 0.0000 0.0000  2 F 2.97
Br: 0.0000 0.0000 0.5000  2 F 2.97

N(E_F)   0.737 states/eV/atom
Formation energy from raw total energies   -1.0470 eV/atom
Total magnetization   2.00 μB per cell
Uncorrected energy   -20.71 eV/f.u.
Space group   P4/mmm